No. 1
Sr2BiPAu2: optimized geometry, PBE-GGA.

The structure in POSCAR format:
```
Sr2BiPAu2
1.0
4.6851 0.0000 0.0000
-2.3426 4.0575 0.0000
0.0000 0.0000 8.6919
Au Sr Bi P
2 2 1 1
direct
0.0000 0.0000 0.0008 Au
0.3333 0.6667 0.5024 Au
0.6667 0.3333 0.7695 Sr
0.6667 0.3333 0.2303 Sr
0.0000 0.0000 0.4980 Bi
0.3333 0.6667 0.9990 P
```

E in eV per cell: -23.868

No. 2
YHo2Fe6Co2Ni: optimized geometry, PBE-GGA.

The structure in POSCAR format:
```
YHo2Fe6Co2Ni
1.0
2.2223 -8.1832 1.8334
2.7947 -5.5609 6.0441
-1.7486 -7.1044 4.6621
Fe Ho Co Ni Y
6 2 2 1 1
direct
0.9207 0.4176 0.4176 Fe
0.4176 0.9207 0.4176 Fe
0.4176 0.4176 0.9207 Fe
0.5824 0.0793 0.5824 Fe
0.5824 0.5824 0.0793 Fe
0.0793 0.5824 0.5824 Fe
0.1419 0.1419 0.1419 Ho
0.8581 0.8581 0.8581 Ho
0.3329 0.3329 0.3329 Co
0.6671 0.6671 0.6671 Co
0.5000 0.5000 0.5000 Ni
0.0000 0.0000 0.0000 Y
```

ΔH_f (0 K) in eV/f.u.: -1.49
Total magnetization in Bohr magnetons per cell: 15.50

No. 3
Sc3Zn2Ag3: optimized geometry, PBE-GGA.

The structure in POSCAR format:
```
Sc3Zn2Ag3
1.0
4.8658 0.0000 0.0000
0.0000 3.1080 5.0841
0.0000 -3.1080 5.0841
Ag Zn Sc
3 2 3
direct
0.5000 0.6817 0.1631 Ag
0.5000 0.1631 0.6817 Ag
0.0000 0.8224 0.8224 Ag
0.5000 0.6687 0.6687 Zn
0.0000 0.3252 0.3252 Zn
0.5000 0.1862 0.1862 Sc
0.0000 0.3328 0.8198 Sc
0.0000 0.8198 0.3328 Sc
```

ΔH_f (0 K) in eV/f.u.: -0.73
Total magnetization in Bohr magnetons per cell: 0.46
Distance to the lowest polymorph of the same formula in eV/atom: 0.152

No. 4
Na2AlTcO6: optimized geometry, PBE-GGA.

The structure in POSCAR format:
```
Na2AlTcO6
1.0
-3.9948 0.7369 3.4129
-2.8224 -3.7347 -2.5018
2.9098 -5.2359 4.5357
O Al Na Tc
12 2 4 2
direct
0.4510 0.5502 0.2497 O
0.2033 0.2984 0.0007 O
0.6956 0.2944 0.5002 O
0.1983 0.7974 0.0004 O
0.1944 0.3038 0.4992 O
0.4490 0.5493 0.7503 O
0.7055 0.7955 0.5008 O
0.2040 0.8048 0.4997 O
0.9489 0.0500 0.2503 O
0.9511 0.0505 0.7497 O
0.6967 0.8022 0.9993 O
0.7021 0.3034 0.9996 O
0.9499 0.0498 0.5000 Al
0.4501 0.5502 0.0000 Al
0.4500 0.0499 0.7500 Na
0.4499 0.0500 0.2500 Na
0.9500 0.5502 0.2500 Na
0.9501 0.5500 0.7501 Na
0.4499 0.5497 0.5000 Tc
0.9501 0.0503 0.0000 Tc
```

Total magnetization in Bohr magnetons per cell: 0.00
Distance to the lowest polymorph of the same formula in eV/atom: 0.005

No. 5
SrCd3Ir: optimized geometry, PBE-GGA.

The structure in POSCAR format:
```
SrCd3Ir
1.0
6.7208 0.0000 0.0000
0.0000 6.7208 0.0000
0.0000 0.0000 5.5683
Cd Sr Ir
6 2 2
direct
0.2500 0.2500 0.5000 Cd
0.7500 0.2500 0.5000 Cd
0.0000 0.5000 0.8151 Cd
0.5000 0.0000 0.1849 Cd
0.7500 0.7500 0.5000 Cd
0.2500 0.7500 0.5000 Cd
0.5000 0.5000 0.0000 Sr
0.0000 0.0000 0.0000 Sr
0.5000 0.0000 0.7178 Ir
0.0000 0.5000 0.2822 Ir
```

Total magnetization in Bohr magnetons per cell: 0.00
E in eV per cell: -28.044

No. 6
Zr4SnPbN2: optimized geometry, PBE-GGA.

The structure in POSCAR format:
```
Zr4SnPbN2
1.0
3.3291 0.0000 0.0000
-1.6645 2.8831 0.0000
0.0000 0.0000 14.7948
Zr N Pb Sn
4 2 1 1
direct
0.0000 0.0000 0.6625 Zr
0.3333 0.6667 0.1686 Zr
0.3333 0.6667 0.8314 Zr
0.0000 0.0000 0.3375 Zr
0.6667 0.3333 0.2528 N
0.6667 0.3333 0.7472 N
0.0000 0.0000 0.0000 Pb
0.3333 0.6667 0.5000 Sn
```

Total magnetization in Bohr magnetons per cell: 0.00
E in eV per cell: -66.806